# 1
DyErTe3: relaxed, GGA-PBE.

Cell: 7.6543 7.6543 8.2822 Å, 62.48 62.48 60.00°
Fractional coordinates of all 10 atoms:
Dy (0.6572, 0.6572, 0.0284)
Dy (0.3428, 0.3428, 0.9716)
Te (0.5648, 0.2479, 0.2515)
Te (0.2479, 0.9358, 0.2515)
Te (0.7521, 0.0642, 0.7485)
Te (0.0642, 0.4352, 0.7485)
Te (0.4352, 0.7521, 0.7485)
Te (0.9358, 0.5648, 0.2515)
Er (0.8422, 0.8422, 0.4733)
Er (0.1578, 0.1578, 0.5267)

- formation energy without anion corrections (kJ/mol of formula units) = -653
- energy above the lowest structure with this stoichiometry (eV per formula unit) = 0.00

# 2
Dy2ErTe3: relaxed, GGA-PBE.

Cell: 4.3745 6.1176 7.4934 Å, 114.09 106.97 90.00°
Fractional coordinates of all 6 atoms:
Dy (0.8297, 0.8297, 0.1594)
Dy (0.1703, 0.1703, 0.8406)
Te (0.1638, 0.6638, 0.8276)
Te (0.5000, 0.0000, 0.5000)
Te (0.8362, 0.3362, 0.1724)
Er (0.5000, 0.5000, 0.5000)

- formation energy without anion corrections (kJ/mol of formula units) = -727
- energy above the lowest structure with this stoichiometry (eV per formula unit) = 0.14

# 3
Dy2ErTe3: relaxed, GGA-PBE.

Cell: 7.2291 7.2291 8.7860 Å, 65.71 65.71 60.00°
Fractional coordinates of all 12 atoms:
Er (0.5000, 0.5000, 0.5000)
Er (0.0000, 0.0000, 0.0000)
Dy (0.6671, 0.6671, 0.9988)
Dy (0.1671, 0.1671, 0.4988)
Dy (0.3329, 0.3329, 0.0012)
Dy (0.8329, 0.8329, 0.5012)
Te (0.9146, 0.5854, 0.2500)
Te (0.5854, 0.2500, 0.2500)
Te (0.0854, 0.4146, 0.7500)
Te (0.2500, 0.9146, 0.2500)
Te (0.7500, 0.0854, 0.7500)
Te (0.4146, 0.7500, 0.7500)

- formation energy without anion corrections (kJ/mol of formula units) = -740
- energy above the lowest structure with this stoichiometry (eV per formula unit) = 0.00

The highest formation energy without anion corrections belongs to which entry? DyErTe3